A plane-wave DFT calculation with PBE was carried out for crystalline CaRhPb2 at its relaxed geometry.

Values from the calculation:
DOS at the Fermi energy (states/eV/f.u.): 3.65
Formation enthalpy at 0 K (kcal/mol of atoms): -3.8

The structure in CIF format:
```
data_CaRhPb2
_chemical_formula_sum 'Ca1 Rh1 Pb2'
_space_group_name_H-M_alt 'P 1'
_space_group_IT_number 1
_space_group_name_Hall 'P 1'
_cell_length_a 3.5058
_cell_length_b 3.5057
_cell_length_c 8.2634
_cell_angle_alpha 90.00
_cell_angle_beta 90.00
_cell_angle_gamma 90.00
loop_
_atom_site_label
_atom_site_type_symbol
_atom_site_fract_x
_atom_site_fract_y
_atom_site_fract_z
_atom_site_occupancy
Pb1 Pb 0.0000 0.0000 0.0048 1
Pb2 Pb 0.5000 0.5000 0.3050 1
Ca1 Ca 0.5000 0.5000 0.7014 1
Rh1 Rh 0.0000 0.0000 0.4887 1
```